Record 1
A relaxed structure of CsMnTe2. Source: Alexandria via LeMat-Bulk, functional PBE.

Geometry as extended XYZ:
```
8
Lattice="-3.947 -4.226 3.622 3.534 -8.600 0.037 0.792 2.564 5.411" Properties=species:S:1:pos:R:3 pbc="T T T"
Cs 0.396 -9.268 7.167
Cs -0.106 -0.720 4.008
Mn 0.107 -5.933 4.343
Mn 0.184 -4.053 6.832
Te 2.000 -5.990 6.275
Te 0.625 -4.182 2.101
Te -1.124 -8.369 3.663
Te -1.710 -3.997 4.901
```

Results
Crystal system: triclinic
Calculated density in Mg/m³: 4.57
Total energy in eV/atom: -4.556
E_form (uncorrected) in eV/atom: -0.4791



Record 2
A relaxed structure of TaGa2Ru. Source: Alexandria via LeMat-Bulk, functional PBE.

Geometry as extended XYZ:
```
4
Lattice="-2.533 -3.117 2.035 -3.179 1.248 2.934 -4.351 -0.422 -1.080" Properties=species:S:1:pos:R:3 pbc="T T T"
Ta -5.032 -1.145 1.944
Ga -7.547 -1.718 2.917
Ga -2.516 -0.573 0.972
Ru 0.000 0.000 0.000
```

Results
Crystal system: cubic
Calculated density in Mg/m³: 10.84
Total energy in eV/atom: -6.794
Formation enthalpy at 0 K in eV per atom: 0.001



Record 3
A relaxed structure of Ce2ZnCu4Ge3. Source: Alexandria via LeMat-Bulk, functional PBE.

Geometry as extended XYZ:
```
10
Lattice="4.165 0.000 0.000 0.000 4.165 0.000 0.000 0.000 10.097" Properties=species:S:1:pos:R:3 pbc="T T T"
Cu 0.000 2.082 3.723
Cu 0.000 0.000 0.000
Cu 2.082 2.082 0.000
Cu 2.082 0.000 6.375
Ge 0.000 0.000 5.049
Ge 2.082 0.000 8.748
Ge 0.000 2.082 1.349
Ce 2.082 0.000 2.463
Ce 0.000 2.082 7.634
Zn 2.082 2.082 5.049
```

Results
Crystal system: tetragonal
Calculated density in Mg/m³: 7.75
Total energy in eV/atom: -4.790
Formation enthalpy at 0 K in eV per atom: -0.452



Record 4
A relaxed structure of NdLuScTl. Source: Alexandria via LeMat-Bulk, functional PBE.

Geometry as extended XYZ:
```
4
Lattice="5.371 0.000 0.000 2.685 4.651 0.000 2.685 1.550 4.385" Properties=species:S:1:pos:R:3 pbc="T T T"
Tl 8.056 4.651 3.289
Sc 5.371 3.101 2.193
Lu 2.685 1.550 1.096
Nd 0.000 0.000 0.000
```

Results
Crystal system: cubic
Calculated density in Mg/m³: 8.62
Total energy in eV/atom: -4.531
Formation enthalpy at 0 K in eV per atom: -0.034



Record 5
A relaxed structure of SrPm2Cd8. Source: Alexandria via LeMat-Bulk, functional PBE.

Geometry as extended XYZ:
```
11
Lattice="-3.106 -4.130 -1.631 0.976 1.730 -6.224 7.650 -3.630 3.617" Properties=species:S:1:pos:R:3 pbc="T T T"
Cd 1.966 -0.871 -1.529
Cd 2.486 0.051 -4.860
Cd 4.393 -1.999 -3.296
Cd 3.034 -6.081 0.621
Cd 1.127 -4.031 -0.942
Cd -1.842 -2.232 -4.338
Cd 3.553 -5.159 -2.710
Cd -0.289 -0.168 -3.518
Pm 1.444 -3.040 -4.046
Pm 4.075 -2.989 -0.192
Sr -1.553 -2.065 -0.816
```

Results
Crystal system: orthorhombic
Calculated density in Mg/m³: 7.33
Total energy in eV/atom: -1.978
Formation enthalpy at 0 K in eV per atom: -0.296



Record 6
A relaxed structure of BaW2Cl. Source: Alexandria via LeMat-Bulk, functional PBE.

Geometry as extended XYZ:
```
4
Lattice="-2.533 1.160 -1.278 1.708 -2.132 -1.390 -5.760 -7.572 4.539" Properties=species:S:1:pos:R:3 pbc="T T T"
W -3.120 -4.102 2.459
W -5.519 -7.256 4.350
Cl -4.732 -6.165 2.070
Ba -1.852 -2.379 -0.200
```

Results
Crystal system: orthorhombic
Calculated density in Mg/m³: 10.72
Total energy in eV/atom: -5.983
E_form (uncorrected) in eV/atom: 1.4364



Record 7
A relaxed structure of Pm3YS. Source: Alexandria via LeMat-Bulk, functional PBE.

Geometry as extended XYZ:
```
5
Lattice="-4.221 -3.450 -0.216 1.140 -1.067 -5.228 3.263 -4.090 1.546" Properties=species:S:1:pos:R:3 pbc="T T T"
Pm 1.632 -2.045 0.773
Pm -2.111 -1.725 -0.108
Pm 0.570 -0.534 -2.614
S 0.000 0.000 0.000
Y 0.091 -4.303 -1.949
```

Results
Crystal system: cubic
Calculated density in Mg/m³: 5.68
Total energy in eV/atom: -5.650
E_form (uncorrected) in eV/atom: -0.6814



Record 8
A relaxed structure of TlReSe. Source: Alexandria via LeMat-Bulk, functional PBE.

Geometry as extended XYZ:
```
3
Lattice="-2.727 0.616 -1.461 -0.638 -1.348 -2.780 -3.492 -6.187 3.613" Properties=species:S:1:pos:R:3 pbc="T T T"
Re -2.907 -2.450 -1.489
Se -1.083 -0.939 -0.852
Tl -5.135 -4.690 -1.687
```

Results
Crystal system: triclinic
Calculated density in Mg/m³: 11.35
Total energy in eV/atom: -5.761
E_form (uncorrected) in eV/atom: 0.3382